No. 1
! PBE Co2SiTc, optimized geometry; values from VASP
&SYSTEM
  ibrav = 0, nat = 4, ntyp = 3
/
ATOMIC_SPECIES
Tc 98.00 Tc.upf
Co 58.93 Co.upf
Si 28.09 Si.upf
CELL_PARAMETERS angstrom
4.355 -0.006 -0.023
3.567 2.499 -0.023
0.949 0.299 4.328
ATOMIC_POSITIONS angstrom
Tc 2.168 0.682 0.971
Co 0.005 0.002 0.006
Co 6.705 2.110 3.126
Si 4.429 1.394 2.321
! M_tot = 0.00 μB per atom
! Raw total energy = -7.664 eV/atom
! Space group = Cm, No. 8
! Crystal system = monoclinic
! Calculated density = 8.57 Mg/m³
! Formation energy (no corrections) = -0.164 eV per atom

***

No. 2
! PBE Pm12Sm7Ho, optimized geometry; values from VASP
&SYSTEM
  ibrav = 0, nat = 20, ntyp = 3
/
ATOMIC_SPECIES
Pm 145.00 Pm.upf
Sm 150.36 Sm.upf
Ho 164.93 Ho.upf
CELL_PARAMETERS angstrom
8.586 1.234 1.852
-1.202 8.590 1.852
-1.202 -1.599 8.641
ATOMIC_POSITIONS angstrom
Pm 4.531 1.139 5.649
Pm 0.039 6.146 4.019
Pm 0.289 5.189 9.186
Pm 4.904 7.815 5.125
Pm -0.166 3.414 6.485
Pm 6.347 4.810 5.860
Pm 2.856 2.545 9.118
Pm 1.278 0.410 7.220
Pm 1.650 7.086 6.697
Pm 3.326 5.680 3.227
Pm 6.143 2.079 8.326
Pm 5.893 3.036 3.159
Sm 3.113 0.878 2.160
Sm 3.091 4.112 6.173
Sm 5.457 4.774 10.703
Sm -0.022 0.748 3.817
Sm 3.069 7.347 10.185
Sm 6.204 7.477 8.528
Sm 0.724 3.450 1.642
Ho 0.000 0.000 0.000
! M_tot = 0.00 μB per atom
! Raw total energy = -4.505 eV/atom
! Space group = R-3, No. 148
! Crystal system = trigonal
! Calculated density = 7.06 Mg/m³

***

No. 3
! PBE Al2ReBi2, optimized geometry; values from VASP
&SYSTEM
  ibrav = 0, nat = 5, ntyp = 3
/
ATOMIC_SPECIES
Bi 208.98 Bi.upf
Al 26.98 Al.upf
Re 186.21 Re.upf
CELL_PARAMETERS angstrom
3.546 0.000 0.000
0.000 3.546 0.000
1.773 1.773 9.187
ATOMIC_POSITIONS angstrom
Bi 3.546 3.546 7.535
Bi 1.773 1.773 1.652
Al 3.546 1.773 4.594
Al 1.773 3.546 4.594
Re 0.000 0.000 0.000
! M_tot = 0.00 μB per atom
! Raw total energy = -4.875 eV/atom
! Space group = I4/mmm, No. 139
! Crystal system = tetragonal
! Calculated density = 9.46 Mg/m³

***

No. 4
! PBE CeAl2Au9, optimized geometry; values from VASP
&SYSTEM
  ibrav = 0, nat = 24, ntyp = 3
/
ATOMIC_SPECIES
Au 196.97 Au.upf
Ce 140.12 Ce.upf
Al 26.98 Al.upf
CELL_PARAMETERS angstrom
-6.453 -0.557 -2.815
-0.350 -5.378 -6.992
-4.818 -6.528 3.479
ATOMIC_POSITIONS angstrom
Au -10.004 -10.075 -6.901
Au -2.662 -4.324 -5.510
Au 0.000 0.000 0.000
Au -7.424 -6.371 -3.868
Au -11.095 -10.355 -4.346
Au -7.952 -8.480 -5.850
Au -5.443 -2.720 -1.096
Au -1.982 -3.651 -2.772
Au -6.794 -7.859 -1.409
Au -3.072 -3.932 -0.217
Au -5.449 -5.041 1.021
Au -9.042 -8.761 -3.295
Au -5.112 -7.426 -5.350
Au -5.135 -7.810 0.850
Au -4.352 -2.439 -3.651
Au -7.108 -5.090 -1.239
Au -2.349 -7.093 -5.680
Au -5.426 -4.657 -5.180
Ce -3.227 -0.279 -1.407
Ce -4.198 -6.093 -2.460
Al -9.348 -6.729 -1.602
Al -6.939 -3.464 -3.341
Al -6.296 -9.139 -3.691
Al -7.114 -6.154 -6.838
! M_tot = 0.09 μB per atom
! Raw total energy = -3.917 eV/atom
! Space group = I4_1/amd, No. 141
! Crystal system = tetragonal
! Calculated density = 14.13 Mg/m³